Entry one
This record from the Alexandria database describes GaRhSeN2 after structural relaxation. The functional is PBE.

POSCAR file:
```
GaRhSeN2
1.0
-1.7198 -2.5108 -2.1295
3.1944 -0.6913 -1.7647
1.2011 -3.9932 3.7383
N Se Rh Ga
2 1 1 1
Direct
0.5000 0.0000 0.0000
0.0000 0.5000 0.0000
0.0000 0.0000 0.5000
0.5000 0.5000 0.5000
0.0000 0.0000 0.0000
```

calculated volume = 77.3 Å³/f.u.
SG = P4/mmm, No. 123

***

Entry two
This record from the Alexandria database describes GaRhSeN2 after structural relaxation. The functional is PBE.

POSCAR file:
```
GaRhSeN2
1.0
-1.9382 0.4304 3.2750
2.9002 -1.5957 1.9261
2.2674 4.9546 0.6908
Se N Ga Rh
1 2 1 1
Direct
0.0000 0.0000 0.5000
0.5000 0.0000 0.0000
0.0000 0.5000 0.0000
0.5000 0.5000 0.5000
0.0000 0.0000 0.0000
```

calculated volume = 80.6 Å³/f.u.
SG = P4/mmm, No. 123

***

Winner for stability: entry two

***

Entry one
This record from the Alexandria database describes GaRhSe2N after structural relaxation. The functional is PBE.

POSCAR file:
```
GaRhSe2N
1.0
5.2045 0.0000 0.0000
0.0000 5.2045 0.0000
0.0000 0.0000 3.6291
Ga Rh N Se
1 1 1 2
Direct
0.5000 0.5000 0.5000
0.0000 0.0000 0.0000
0.0000 0.0000 0.5000
0.5000 0.0000 0.0000
0.0000 0.5000 0.0000
```

calculated volume = 98.3 Å³/f.u.
SG = P4/mmm, No. 123

***

Entry two
This record from the Alexandria database describes GaRhSe2N after structural relaxation. The functional is PBE.

POSCAR file:
```
GaRhSe2N
1.0
-0.0308 4.8506 1.5088
-2.4936 -1.3289 4.2215
3.0939 -0.4999 1.6702
Se Rh N Ga
2 1 1 1
Direct
0.0000 0.5000 0.0000
0.5000 0.0000 0.0000
0.5000 0.5000 0.5000
0.0000 0.0000 0.5000
0.0000 0.0000 0.0000
```

calculated volume = 91.6 Å³/f.u.
SG = P4/mmm, No. 123

***

Winner for stability: entry one

***

Entry one
This record from the Alexandria database describes ZnGa2RhN after structural relaxation. The functional is PBE.

POSCAR file:
```
ZnGa2RhN
1.0
-0.4298 -3.9319 3.2151
2.7125 1.3927 2.0658
-3.4211 2.6089 2.7333
Ga Rh N Zn
2 1 1 1
Direct
0.0000 0.0000 0.5000
0.5000 0.0000 0.0000
0.0000 0.0000 0.0000
0.0000 0.5000 0.0000
0.5000 0.5000 0.5000
```

calculated volume = 95.7 Å³/f.u.
SG = P4/mmm, No. 123

***

Entry two
This record from the Alexandria database describes ZnGa2RhN after structural relaxation. The functional is PBE.

POSCAR file:
```
ZnGa2RhN
1.0
4.2656 0.0000 0.0000
0.0000 3.8428 0.0000
0.0000 0.0000 4.2656
Ga Rh Zn N
2 1 1 1
Direct
0.0000 0.0000 0.5000
0.5000 0.0000 0.0000
0.5000 0.5000 0.5000
0.0000 0.5000 0.0000
0.0000 0.0000 0.0000
```

calculated volume = 69.9 Å³/f.u.
SG = P4/mmm, No. 123

***

Winner for stability: entry two

***

Entry one
This record from the Alexandria database describes GaRu3N after structural relaxation. The functional is PBE.

POSCAR file:
```
GaRu3N
1.0
4.0571 0.0000 0.0000
0.0000 4.0571 0.0000
0.0000 0.0000 4.0571
N Ga Ru
1 1 3
Direct
0.0000 0.0000 0.0000
0.5000 0.5000 0.5000
0.5000 0.0000 0.0000
0.0000 0.0000 0.5000
0.0000 0.5000 0.0000
```

calculated volume = 66.8 Å³/f.u.
SG = Pm-3m, No. 221

***

Entry two
This record from the Alexandria database describes GaRu3N after structural relaxation. The functional is PBE.

POSCAR file:
```
GaRu3N
1.0
-1.8545 3.9001 1.7055
-2.2182 0.7023 -4.0181
-3.6330 -2.4196 1.5828
N Ru Ga
1 3 1
Direct
0.5000 0.5000 0.5000
0.5000 0.0000 0.0000
0.0000 0.0000 0.5000
0.0000 0.5000 0.0000
0.0000 0.0000 0.0000
```

calculated volume = 100.1 Å³/f.u.
SG = Pm-3m, No. 221

***

Winner for stability: entry one